Entry 1:
This record from Alexandria describes crystalline Ba3Tm3ScTe8 at its relaxed geometry. The functional is PBE-GGA.

Output
For the formation energy from raw total energies, the calculation gives -33.75 kcal/mol of atoms. Its crystal system is trigonal. The calculation puts the raw total energy at -72.60 eV per cell. The magnetic moment is 0.00 Bohr magnetons per cell.

a = 8.877 Å, b = 8.877 Å, c = 9.491 Å
α = 117.88°, β = 90.00°, γ = 120.00°
Fractional coordinates of all 15 atoms:
Tm: 0.500 0.000 0.500
Te: 0.263 0.525 0.288
Te: 0.235 0.973 0.708
Tm: 0.000 0.500 0.500
Te: 0.737 0.475 0.712
Te: 0.235 0.469 0.708
Te: 0.765 0.531 0.292
Ba: 0.500 0.500 0.000
Te: 0.261 0.027 0.292
Ba: 0.000 0.500 0.000
Te: 0.765 0.027 0.292
Ba: 0.000 0.000 0.000
Sc: 0.000 0.000 0.500
Tm: 0.500 0.500 0.500
Te: 0.739 0.973 0.708

***

Entry 2:
This record from Alexandria describes crystalline Ba3Y3ScTe8 at its relaxed geometry. The functional is PBE-GGA.

Output
For the formation energy from raw total energies, the calculation gives -34.70 kcal/mol of atoms. Its crystal system is trigonal. The calculation puts the raw total energy at -79.20 eV per cell. The magnetic moment is 0.00 Bohr magnetons per cell.

a = 8.952 Å, b = 8.950 Å, c = 9.530 Å
α = 118.00°, β = 90.00°, γ = 120.01°
Fractional coordinates of all 15 atoms:
Ba: 0.000 0.000 0.000
Te: 0.261 0.522 0.283
Sc: 0.000 0.000 0.500
Te: 0.233 0.466 0.710
Ba: 0.000 0.500 0.000
Y: 0.500 0.000 0.500
Te: 0.739 0.478 0.717
Te: 0.743 0.976 0.710
Te: 0.233 0.976 0.710
Te: 0.767 0.534 0.290
Te: 0.257 0.024 0.290
Y: 0.500 0.500 0.500
Ba: 0.500 0.500 0.000
Y: 0.000 0.500 0.500
Te: 0.767 0.024 0.290

***

Entry 3:
This record from Alexandria describes crystalline BaScZn2Te at its relaxed geometry. The functional is PBE-GGA.

Output
For the formation energy from raw total energies, the calculation gives 6.23 kcal/mol of atoms. Its crystal system is tetragonal. The calculation puts the raw total energy at -12.59 eV per cell. The magnetic moment is 1.32 Bohr magnetons per cell.

a = 5.259 Å, b = 7.113 Å, c = 5.259 Å
α = 90.00°, β = 90.00°, γ = 90.00°
Each line ends with the local moment (μB).
Fractional coordinates of all 5 atoms:
Zn: 0.500 0.000 0.000  0.04
Zn: 0.000 0.000 0.500  0.02
Te: 0.500 0.500 0.500  0.00
Sc: 0.000 0.000 0.000  0.57
Ba: 0.000 0.500 0.000  0.10

***

Entry 4:
This record from Alexandria describes crystalline BaSc3Ti at its relaxed geometry. The functional is PBE-GGA.

Output
Its crystal system is cubic. The calculation puts the raw total energy at -21.60 eV per cell. The calculated formation energy is 1.44 eV/atom. The magnetic moment is 0.00 Bohr magnetons per cell.

a = 5.228 Å, b = 5.228 Å, c = 5.228 Å
α = 90.00°, β = 90.00°, γ = 90.00°
Fractional coordinates of all 5 atoms:
Sc: 0.000 0.500 0.000
Sc: 0.500 0.000 0.000
Ba: 0.000 0.000 0.000
Ti: 0.500 0.500 0.500
Sc: 0.000 0.000 0.500